[1]
A plane-wave DFT calculation with PBE was carried out for crystalline Rb2US2Br4 at its relaxed geometry.

Its crystal system is monoclinic. The electronic total energy is -40.3 eV/f.u.

It has space group C2/m (No. 12), with a = 12.8882 Å, b = 7.7647 Å, c = 6.4513 Å, α = 90.00°, β = 97.20° and γ = 90.00°. Symmetry generates all atoms from Rb at (0.1678, 0.0000, 0.2683), U at (0.0000, 0.5000, 0.0000), S at (0.1469, 0.5000, 0.2591) and Br at (0.0934, 0.2448, 0.7851).

=====

[2]
A plane-wave DFT calculation with PBE was carried out for crystalline Cs3TlSn at its relaxed geometry.

For the formation energy, the calculation gives -0.3 eV/f.u. Its crystal system is monoclinic. The electronic total energy is -9.2 eV/f.u.

It has space group C2/m (No. 12), with a = 12.9004 Å, b = 11.5067 Å, c = 10.0231 Å, α = 90.00°, β = 126.58° and γ = 90.00°. Symmetry generates all atoms from Cs at (0.0141, 0.0000, 0.2358), Cs at (0.2298, 0.2995, 0.2497), Tl at (0.1390, 0.5000, 0.8415) and Sn at (0.1111, 0.5000, 0.4928).

=====

Among the records above, which one has the lowest electronic total energy? Rb2US2Br4

=====

What is the electronic total energy in the first record? -40.3 eV/f.u.